ZrTiCdIn: relaxed, PBE.

- Spin magnetization: 0.000 μB per atom
- Energy of formation: -0.13 eV per atom
- Theoretical density: 7.44 Mg/m³

Geometry as CIF:
```
data_ZrTiCdIn
_chemical_formula_sum 'Zr1 Ti1 Cd1 In1'
_cell_length_a 3.0864
_cell_length_b 3.0864
_cell_length_c 8.5869
_cell_angle_alpha 90.00
_cell_angle_beta 90.00
_cell_angle_gamma 90.00
_space_group_name_H-M_alt 'P 4 m m'
_space_group_IT_number 99
_space_group_name_Hall 'P 4 -2'
loop_
_atom_site_label
_atom_site_type_symbol
_atom_site_fract_x
_atom_site_fract_y
_atom_site_fract_z
Zr1 Zr 0.0000 0.0000 0.0000
Ti1 Ti 0.0000 0.0000 0.5002
Cd1 Cd 0.5000 0.5000 0.2628
In1 In 0.5000 0.5000 0.7379
```